(1)
Compound: ZnRe2Tc
Source: Alexandria via LeMat-Bulk
Functional: PBE
Structure: relaxed

The structure in CIF format:
```
data_ZnRe2Tc
_chemical_formula_sum 'Zn1 Re2 Tc1'
_space_group_name_H-M_alt 'P 4/m m m'
_space_group_IT_number 123
_space_group_name_Hall '-P 4 2'
_cell_length_a 4.538
_cell_length_b 4.538
_cell_length_c 2.859
_cell_angle_alpha 90.00
_cell_angle_beta 90.00
_cell_angle_gamma 90.00
loop_
_atom_site_label
_atom_site_fract_x
_atom_site_fract_y
_atom_site_fract_z
Zn1 0.000 0.000 0.000
Re1 0.000 0.500 0.500
Tc1 0.500 0.500 0.000
```

Energy   -8.71 eV per atom
ΔH_f (0 K)   1.71 eV/f.u.
Magnetic moment   0.0 μB per cell

---

(2)
Compound: ZnReTc2
Source: Alexandria via LeMat-Bulk
Functional: PBE
Structure: relaxed

The structure in CIF format:
```
data_ZnReTc2
_chemical_formula_sum 'Zn2 Re2 Tc4'
_space_group_name_H-M_alt 'I m m m'
_space_group_IT_number 71
_space_group_name_Hall '-I 2 2'
_cell_length_a 3.109
_cell_length_b 4.297
_cell_length_c 8.677
_cell_angle_alpha 90.00
_cell_angle_beta 90.00
_cell_angle_gamma 90.00
loop_
_atom_site_label
_atom_site_fract_x
_atom_site_fract_y
_atom_site_fract_z
Zn1 0.000 0.000 0.000
Re1 0.000 0.000 0.500
Tc1 0.000 0.500 0.247
```

Energy   -8.44 eV per atom
ΔH_f (0 K)   0.71 eV/f.u.
Magnetic moment   0.0 μB per cell

---

(3)
Compound: Zn2ReTc
Source: Alexandria via LeMat-Bulk
Functional: PBE
Structure: relaxed

The structure in CIF format:
```
data_Zn2ReTc
_chemical_formula_sum 'Zn2 Re1 Tc1'
_space_group_name_H-M_alt 'P 4/m m m'
_space_group_IT_number 123
_space_group_name_Hall '-P 4 2'
_cell_length_a 3.723
_cell_length_b 3.723
_cell_length_c 4.196
_cell_angle_alpha 90.00
_cell_angle_beta 90.00
_cell_angle_gamma 90.00
loop_
_atom_site_label
_atom_site_fract_x
_atom_site_fract_y
_atom_site_fract_z
Zn1 0.000 0.500 0.000
Re1 0.000 0.000 0.500
Tc1 0.500 0.500 0.500
```

Energy   -6.01 eV per atom
ΔH_f (0 K)   1.30 eV/f.u.
Magnetic moment   0.0 μB per cell
ΔE to the lowest computed polymorph   297 meV/atom

---

(4)
Compound: ZnRe2Tc
Source: Alexandria via LeMat-Bulk
Functional: PBE
Structure: relaxed

The structure in CIF format:
```
data_ZnRe2Tc
_chemical_formula_sum 'Zn4 Re8 Tc4'
_space_group_name_H-M_alt 'F -4 3 m'
_space_group_IT_number 216
_space_group_name_Hall 'F -4 2 3'
_cell_length_a 6.168
_cell_length_b 6.168
_cell_length_c 6.168
_cell_angle_alpha 90.00
_cell_angle_beta 90.00
_cell_angle_gamma 90.00
loop_
_atom_site_label
_atom_site_fract_x
_atom_site_fract_y
_atom_site_fract_z
Zn1 0.000 0.000 0.000
Re1 0.000 0.000 0.500
Re2 0.250 0.250 0.250
Tc1 0.250 0.250 0.750
```

Energy   -8.93 eV per atom
ΔH_f (0 K)   0.83 eV/f.u.
Magnetic moment   0.0 μB per cell

---

(5)
Compound: ZnReTc
Source: Alexandria via LeMat-Bulk
Functional: PBE
Structure: relaxed

The structure in CIF format:
```
data_ZnReTc
_chemical_formula_sum 'Zn2 Re2 Tc2'
_space_group_name_H-M_alt 'P 4/n m m'
_space_group_IT_number 129
_cell_length_a 2.913
_cell_length_b 2.913
_cell_length_c 10.452
_cell_angle_alpha 90.00
_cell_angle_beta 90.00
_cell_angle_gamma 90.00
loop_
_space_group_symop_operation_xyz
'x,y,z'
'-x,-y,-z'
'-y+1/2,x,z'
'y+1/2,-x,-z'
'-x+1/2,-y+1/2,z'
'x+1/2,y+1/2,-z'
'y,-x+1/2,z'
'-y,x+1/2,-z'
'x+1/2,-y,-z'
'-x+1/2,y,z'
'-y,-x,-z'
'y,x,z'
'-x,y+1/2,-z'
'x,-y+1/2,z'
'y+1/2,x+1/2,-z'
'-y+1/2,-x+1/2,z'
loop_
_atom_site_label
_atom_site_fract_x
_atom_site_fract_y
_atom_site_fract_z
Zn1 0.250 0.250 0.081
Re1 0.250 0.250 0.407
Tc1 0.250 0.250 0.746
```

Energy   -7.98 eV per atom
ΔH_f (0 K)   0.15 eV/f.u.
Magnetic moment   0.0 μB per cell
ΔE to the lowest computed polymorph   21 meV/atom

---

(6)
Compound: ZnRe2Tc
Source: Alexandria via LeMat-Bulk
Functional: PBE
Structure: relaxed

The structure in CIF format:
```
data_ZnRe2Tc
_chemical_formula_sum 'Zn1 Re2 Tc1'
_space_group_name_H-M_alt 'P 4 m m'
_space_group_IT_number 99
_cell_length_a 3.077
_cell_length_b 3.077
_cell_length_c 6.174
_cell_angle_alpha 90.00
_cell_angle_beta 90.00
_cell_angle_gamma 90.00
loop_
_space_group_symop_operation_xyz
'x,y,z'
'-y,x,z'
'-x,-y,z'
'y,-x,z'
'-x,y,z'
'y,x,z'
'x,-y,z'
'-y,-x,z'
loop_
_atom_site_label
_atom_site_fract_x
_atom_site_fract_y
_atom_site_fract_z
Zn1 0.000 0.000 0.000
Re1 0.000 0.000 0.492
Re2 0.500 0.500 0.251
Tc1 0.500 0.500 0.763
```

Energy   -8.93 eV per atom
ΔH_f (0 K)   0.83 eV/f.u.
Magnetic moment   0.0 μB per cell

---

(7)
Compound: ZnReTc2
Source: Alexandria via LeMat-Bulk
Functional: PBE
Structure: relaxed

The structure in CIF format:
```
data_ZnReTc2
_chemical_formula_sum 'Zn1 Re1 Tc2'
_space_group_name_H-M_alt 'P 1 2/m 1'
_space_group_IT_number 10
_cell_length_a 4.748
_cell_length_b 2.776
_cell_length_c 4.784
_cell_angle_alpha 90.00
_cell_angle_beta 112.50
_cell_angle_gamma 90.00
loop_
_space_group_symop_operation_xyz
'x,y,z'
'-x,-y,-z'
'-x,y,-z'
'x,-y,z'
loop_
_atom_site_label
_atom_site_fract_x
_atom_site_fract_y
_atom_site_fract_z
Zn1 0.000 0.000 0.000
Re1 0.000 0.500 0.500
Tc1 0.500 0.000 0.500
Tc2 0.500 0.500 0.000
```

Energy   -8.37 eV per atom
ΔH_f (0 K)   0.99 eV/f.u.
Magnetic moment   0.0 μB per cell

---

(8)
Compound: ZnRe2Tc
Source: Alexandria via LeMat-Bulk
Functional: PBE
Structure: relaxed

The structure in CIF format:
```
data_ZnRe2Tc
_chemical_formula_sum 'Zn1 Re2 Tc1'
_space_group_name_H-M_alt 'P 4/m m m'
_space_group_IT_number 123
_space_group_name_Hall '-P 4 2'
_cell_length_a 2.761
_cell_length_b 2.761
_cell_length_c 7.714
_cell_angle_alpha 90.00
_cell_angle_beta 90.00
_cell_angle_gamma 90.00
loop_
_atom_site_label
_atom_site_fract_x
_atom_site_fract_y
_atom_site_fract_z
Zn1 0.000 0.000 0.000
Re1 0.500 0.500 0.255
Tc1 0.000 0.000 0.500
```

Energy   -8.96 eV per atom
ΔH_f (0 K)   0.69 eV/f.u.
Magnetic moment   0.0 μB per cell

---

(9)
Compound: ZnRe2Tc
Source: Alexandria via LeMat-Bulk
Functional: PBE
Structure: relaxed

The structure in CIF format:
```
data_ZnRe2Tc
_chemical_formula_sum 'Zn3 Re6 Tc3'
_space_group_name_H-M_alt 'R -3 m'
_space_group_IT_number 166
_space_group_name_Hall '-R 3 2"'
_cell_length_a 2.7565
_cell_length_b 2.7565
_cell_length_c 26.9605
_cell_angle_alpha 90.00
_cell_angle_beta 90.00
_cell_angle_gamma 120.00
loop_
_atom_site_label
_atom_site_fract_x
_atom_site_fract_y
_atom_site_fract_z
Zn1 0.0000 0.0000 0.0000
Re1 0.0000 0.0000 0.2485
Tc1 0.0000 0.0000 0.5000
```

Energy   -9.04 eV per atom
ΔH_f (0 K)   0.37 eV/f.u.
Magnetic moment   0.0 μB per cell

---

(10)
Compound: Zn2ReTc
Source: Alexandria via LeMat-Bulk
Functional: PBE
Structure: relaxed

The structure in CIF format:
```
data_Zn2ReTc
_chemical_formula_sum 'Zn2 Re1 Tc1'
_space_group_name_H-M_alt 'P 4 m m'
_space_group_IT_number 99
_cell_length_a 2.992
_cell_length_b 2.992
_cell_length_c 6.600
_cell_angle_alpha 90.00
_cell_angle_beta 90.00
_cell_angle_gamma 90.00
loop_
_space_group_symop_operation_xyz
'x,y,z'
'-y,x,z'
'-x,-y,z'
'y,-x,z'
'-x,y,z'
'y,x,z'
'x,-y,z'
'-y,-x,z'
loop_
_atom_site_label
_atom_site_fract_x
_atom_site_fract_y
_atom_site_fract_z
Zn1 0.000 0.000 0.000
Zn2 0.500 0.500 0.245
Re1 0.000 0.000 0.516
Tc1 0.500 0.500 0.734
```

Energy   -6.31 eV per atom
ΔH_f (0 K)   0.11 eV/f.u.
Magnetic moment   0.0 μB per cell
ΔE to the lowest computed polymorph   0 meV/atom

---

(11)
Compound: ZnRe2Tc
Source: Alexandria via LeMat-Bulk
Functional: PBE
Structure: relaxed

The structure in CIF format:
```
data_ZnRe2Tc
_chemical_formula_sum 'Zn1 Re2 Tc1'
_space_group_name_H-M_alt 'P 1 m 1'
_space_group_IT_number 6
_cell_length_a 2.758
_cell_length_b 3.967
_cell_length_c 5.336
_cell_angle_alpha 90.00
_cell_angle_beta 90.41
_cell_angle_gamma 90.00
loop_
_space_group_symop_operation_xyz
'x,y,z'
'x,-y,z'
loop_
_atom_site_label
_atom_site_fract_x
_atom_site_fract_y
_atom_site_fract_z
Zn1 0.000 0.000 0.000
Re1 0.001 0.000 0.500
Re2 0.497 0.500 0.251
Tc1 0.501 0.500 0.763
```

Energy   -8.98 eV per atom
ΔH_f (0 K)   0.61 eV/f.u.
Magnetic moment   0.0 μB per cell

---

(12)
Compound: ZnReTc2
Source: Alexandria via LeMat-Bulk
Functional: PBE
Structure: relaxed

The structure in CIF format:
```
data_ZnReTc2
_chemical_formula_sum 'Zn2 Re2 Tc4'
_space_group_name_H-M_alt 'I -4 m 2'
_space_group_IT_number 119
_space_group_name_Hall 'I -4 -2'
_cell_length_a 3.759
_cell_length_b 3.759
_cell_length_c 8.206
_cell_angle_alpha 90.00
_cell_angle_beta 90.00
_cell_angle_gamma 90.00
loop_
_atom_site_label
_atom_site_fract_x
_atom_site_fract_y
_atom_site_fract_z
Zn1 0.000 0.000 0.000
Re1 0.000 0.500 0.750
Tc1 0.000 0.000 0.500
Tc2 0.000 0.500 0.250
```

Energy   -8.41 eV per atom
ΔH_f (0 K)   0.82 eV/f.u.
Magnetic moment   0.0 μB per cell

---

(13)
Compound: ZnReTc2
Source: Alexandria via LeMat-Bulk
Functional: PBE
Structure: relaxed

The structure in CIF format:
```
data_ZnReTc2
_chemical_formula_sum 'Zn3 Re3 Tc6'
_space_group_name_H-M_alt 'R -3 m'
_space_group_IT_number 166
_space_group_name_Hall '-R 3 2"'
_cell_length_a 2.7639
_cell_length_b 2.7639
_cell_length_c 26.7009
_cell_angle_alpha 90.00
_cell_angle_beta 90.00
_cell_angle_gamma 120.00
loop_
_atom_site_label
_atom_site_fract_x
_atom_site_fract_y
_atom_site_fract_z
Zn1 0.0000 0.0000 0.0000
Re1 0.0000 0.0000 0.5000
Tc1 0.0000 0.0000 0.2488
```

Energy   -8.56 eV per atom
ΔH_f (0 K)   0.21 eV/f.u.
Magnetic moment   0.0 μB per cell

---

(14)
Compound: ZnReTc2
Source: Alexandria via LeMat-Bulk
Functional: PBE
Structure: relaxed

The structure in CIF format:
```
data_ZnReTc2
_chemical_formula_sum 'Zn3 Re3 Tc6'
_space_group_name_H-M_alt 'R 3 m'
_space_group_IT_number 160
_space_group_name_Hall 'R 3 -2"'
_cell_length_a 2.7709
_cell_length_b 2.7709
_cell_length_c 26.5527
_cell_angle_alpha 90.00
_cell_angle_beta 90.00
_cell_angle_gamma 120.00
loop_
_atom_site_label
_atom_site_fract_x
_atom_site_fract_y
_atom_site_fract_z
Zn1 0.0000 0.0000 0.0000
Re1 0.0000 0.0000 0.8338
Tc1 0.0000 0.0000 0.4182
Tc2 0.0000 0.0000 0.5820
```

Energy   -8.56 eV per atom
ΔH_f (0 K)   0.20 eV/f.u.
Magnetic moment   0.0 μB per cell

---

(15)
Compound: ZrZnReTc2
Source: Alexandria via LeMat-Bulk
Functional: PBE
Structure: relaxed

The structure in CIF format:
```
data_ZrZnReTc2
_chemical_formula_sum 'Zr1 Zn1 Re1 Tc2'
_space_group_name_H-M_alt 'P 4/m m m'
_space_group_IT_number 123
_space_group_name_Hall '-P 4 2'
_cell_length_a 4.671
_cell_length_b 4.671
_cell_length_c 4.708
_cell_angle_alpha 90.00
_cell_angle_beta 90.00
_cell_angle_gamma 90.00
loop_
_atom_site_label
_atom_site_fract_x
_atom_site_fract_y
_atom_site_fract_z
Zr1 0.000 0.000 0.000
Zn1 0.500 0.500 0.000
Re1 0.500 0.500 0.500
Tc1 0.000 0.500 0.500
```

Energy   -7.52 eV per atom
ΔH_f (0 K)   5.42 eV/f.u.
Magnetic moment   0.0 μB per cell

---

(16)
Compound: ZrReTc2
Source: Alexandria via LeMat-Bulk
Functional: PBE
Structure: relaxed

The structure in CIF format:
```
data_ZrReTc2
_chemical_formula_sum 'Zr1 Re1 Tc2'
_space_group_name_H-M_alt 'P m m m'
_space_group_IT_number 47
_cell_length_a 3.174
_cell_length_b 4.463
_cell_length_c 4.580
_cell_angle_alpha 90.00
_cell_angle_beta 90.00
_cell_angle_gamma 90.00
loop_
_space_group_symop_operation_xyz
'x,y,z'
'-x,-y,-z'
'-x,-y,z'
'x,y,-z'
'x,-y,-z'
'-x,y,z'
'-x,y,-z'
'x,-y,z'
loop_
_atom_site_label
_atom_site_fract_x
_atom_site_fract_y
_atom_site_fract_z
Zr1 0.000 0.000 0.000
Re1 0.500 0.000 0.500
Tc1 0.000 0.500 0.500
Tc2 0.500 0.500 0.000
```

Energy   -10.46 eV per atom
ΔH_f (0 K)   -0.12 eV/f.u.
Magnetic moment   0.0 μB per cell

---

(17)
Compound: ZrReTc2
Source: Alexandria via LeMat-Bulk
Functional: PBE
Structure: relaxed

The structure in CIF format:
```
data_ZrReTc2
_chemical_formula_sum 'Zr1 Re1 Tc2'
_space_group_name_H-M_alt 'P 4/m m m'
_space_group_IT_number 123
_space_group_name_Hall '-P 4 2'
_cell_length_a 4.518
_cell_length_b 4.518
_cell_length_c 3.164
_cell_angle_alpha 90.00
_cell_angle_beta 90.00
_cell_angle_gamma 90.00
loop_
_atom_site_label
_atom_site_fract_x
_atom_site_fract_y
_atom_site_fract_z
Zr1 0.000 0.000 0.000
Re1 0.500 0.500 0.000
Tc1 0.000 0.500 0.500
```

Energy   -10.54 eV per atom
ΔH_f (0 K)   -0.44 eV/f.u.
Magnetic moment   0.0 μB per cell

---

(18)
Compound: ZrRe3Tc
Source: Alexandria via LeMat-Bulk
Functional: PBE
Structure: relaxed

The structure in CIF format:
```
data_ZrRe3Tc
_chemical_formula_sum 'Zr1 Re3 Tc1'
_space_group_name_H-M_alt 'P m -3 m'
_space_group_IT_number 221
_space_group_name_Hall '-P 4 2 3'
_cell_length_a 4.656
_cell_length_b 4.656
_cell_length_c 4.656
_cell_angle_alpha 90.00
_cell_angle_beta 90.00
_cell_angle_gamma 90.00
loop_
_atom_site_label
_atom_site_fract_x
_atom_site_fract_y
_atom_site_fract_z
Zr1 0.000 0.000 0.000
Re1 0.000 0.500 0.500
Tc1 0.500 0.500 0.500
```

Energy   -9.76 eV per atom
ΔH_f (0 K)   7.45 eV/f.u.
Magnetic moment   0.0 μB per cell
ΔE to the lowest computed polymorph   0 meV/atom

---

(19)
Compound: ZrReTc2
Source: Alexandria via LeMat-Bulk
Functional: PBE
Structure: relaxed

The structure in CIF format:
```
data_ZrReTc2
_chemical_formula_sum 'Zr1 Re1 Tc2'
_space_group_name_H-M_alt 'P 4/m m m'
_space_group_IT_number 123
_space_group_name_Hall '-P 4 2'
_cell_length_a 3.170
_cell_length_b 3.170
_cell_length_c 6.509
_cell_angle_alpha 90.00
_cell_angle_beta 90.00
_cell_angle_gamma 90.00
loop_
_atom_site_label
_atom_site_fract_x
_atom_site_fract_y
_atom_site_fract_z
Zr1 0.000 0.000 0.000
Re1 0.000 0.000 0.500
Tc1 0.500 0.500 0.264
```

Energy   -10.51 eV per atom
ΔH_f (0 K)   -0.31 eV/f.u.
Magnetic moment   0.0 μB per cell

---

(20)
Compound: ZrReTc2
Source: Alexandria via LeMat-Bulk
Functional: PBE
Structure: relaxed

The structure in CIF format:
```
data_ZrReTc2
_chemical_formula_sum 'Zr2 Re2 Tc4'
_space_group_name_H-M_alt 'C m m 2'
_space_group_IT_number 35
_cell_length_a 3.230
_cell_length_b 4.522
_cell_length_c 8.898
_cell_angle_alpha 90.00
_cell_angle_beta 90.00
_cell_angle_gamma 90.00
loop_
_space_group_symop_operation_xyz
'x,y,z'
'-x,-y,z'
'-x,y,z'
'x,-y,z'
'x+1/2,y+1/2,z'
'-x+1/2,-y+1/2,z'
'-x+1/2,y+1/2,z'
'x+1/2,-y+1/2,z'
loop_
_atom_site_label
_atom_site_fract_x
_atom_site_fract_y
_atom_site_fract_z
Zr1 0.000 0.000 0.000
Re1 0.000 0.500 0.266
Tc1 0.000 0.000 0.503
Tc2 0.000 0.500 0.738
```

Energy   -10.28 eV per atom
ΔH_f (0 K)   0.60 eV/f.u.
Magnetic moment   0.0 μB per cell

---

no.,DOS(E_F) (states/eV per atom)
1,1.009
2,0.811
3,1.099
4,0.703
5,0.746
6,0.969
7,0.907
8,0.517
9,0.578
10,0.360
11,0.742
12,1.141
13,0.813
14,1.137
15,1.083
16,0.636
17,0.588
18,0.796
19,0.587
20,1.260